# 1
DFT (PBE) results for Y4CdSbC2 after structural relaxation. Values from VASP.

Symmetry: No. 187
Final energy (eV/atom): -6.64

Geometry as Quantum ESPRESSO input:
```
&SYSTEM
  ibrav = 0, nat = 8, ntyp = 4
/
ATOMIC_SPECIES
C 12.01 C.upf
Cd 112.41 Cd.upf
Sb 121.76 Sb.upf
Y 88.91 Y.upf
ATOMIC_POSITIONS angstrom
C 0.000 0.000 4.014
C 0.000 0.000 11.667
Cd 0.000 2.102 0.000
Sb 1.820 1.051 7.841
Y 1.820 1.051 2.681
Y 0.000 2.102 5.358
Y 0.000 2.102 10.323
Y 1.820 1.051 13.001
CELL_PARAMETERS angstrom
3.640 0.000 0.000
-1.820 3.152 0.000
0.000 0.000 15.682
```

***

# 2
DFT (PBE) results for Sc3CdC2 after structural relaxation. Values from VASP.

Symmetry: No. 194
Final energy (eV/atom): -6.83

Geometry as Quantum ESPRESSO input:
```
&SYSTEM
  ibrav = 0, nat = 12, ntyp = 3
/
ATOMIC_SPECIES
C 12.01 C.upf
Cd 112.41 Cd.upf
Sc 44.96 Sc.upf
ATOMIC_POSITIONS angstrom
C 2.351 0.284 0.487
C 5.691 6.405 3.750
C 5.860 8.470 6.558
C 9.201 14.590 9.821
Cd 2.300 4.215 2.247
Cd 6.901 12.645 6.742
Sc 0.000 0.000 0.000
Sc 1.713 0.870 2.506
Sc 4.147 5.330 4.884
Sc 4.601 8.430 4.494
Sc 7.405 9.544 5.424
Sc 9.839 14.005 7.802
CELL_PARAMETERS angstrom
-0.462 -1.360 3.024
2.812 -0.626 -1.705
9.202 16.860 8.989
```

***

# 3
DFT (PBE) results for Sc4CdC2Se after structural relaxation. Values from VASP.

Symmetry: No. 187
Final energy (eV/atom): -6.81

Geometry as Quantum ESPRESSO input:
```
&SYSTEM
  ibrav = 0, nat = 8, ntyp = 4
/
ATOMIC_SPECIES
C 12.01 C.upf
Cd 112.41 Cd.upf
Sc 44.96 Sc.upf
Se 78.96 Se.upf
ATOMIC_POSITIONS angstrom
C 0.000 0.000 3.832
C 0.000 0.000 10.117
Cd 0.000 1.980 0.000
Sc 1.715 0.990 2.665
Sc 0.000 1.980 5.086
Sc 0.000 1.980 8.863
Sc 1.715 0.990 11.284
Se 1.715 0.990 6.975
CELL_PARAMETERS angstrom
3.429 0.000 0.000
-1.715 2.970 0.000
0.000 0.000 13.949
```